# CrGePO2, relaxed, DFT GGA+U
data_CrGePO2
_chemical_formula_sum 'Cr1 Ge1 P1 O2'
_symmetry_space_group_name_H-M 'P 1'
_symmetry_Int_Tables_number 1
_cell_length_a 3.614
_cell_length_b 3.614
_cell_length_c 5.589
_cell_angle_alpha 90.00
_cell_angle_beta 90.00
_cell_angle_gamma 90.00
loop_
_symmetry_equiv_pos_as_xyz
'x,y,z'
loop_
_atom_site_label
_atom_site_type_symbol
_atom_site_fract_x
_atom_site_fract_y
_atom_site_fract_z
Cr1 Cr 0.500 0.500 0.500
Ge1 Ge 0.000 0.000 0.000
O1 O 0.000 0.500 0.000
O2 O 0.500 0.000 0.000
P1 P 0.000 0.000 0.500
# DOS at the Fermi energy: 2.6 states/eV/f.u.
# magnetic moment: 3.33 μB per cell
# E above lowest polymorph: 120.1 meV per atom